Cs2CdCu2Cl6: optimized geometry, PBE.

```
Cs2CdCu2Cl6
1.0
7.471 0.000 0.000
-3.736 6.500 -0.090
0.000 -3.860 6.659
Cd Cl Cu Cs
1 6 2 2
Direct
0.500 0.000 0.500
0.257 0.514 0.290
0.762 0.039 0.770
0.743 0.486 0.710
0.238 0.961 0.230
0.276 0.039 0.770
0.724 0.961 0.230
0.936 0.872 0.788
0.064 0.128 0.212
0.733 0.466 0.211
0.267 0.534 0.789
```

## Properties
calculated total energy: -34.98 eV for the cell shown
calculated volume: 29.16 Å³/atom